A plane-wave DFT calculation with PBE with a Hubbard U was carried out for LiVFeP4O14 after structural relaxation.

Cell and atoms, written as CIF:
```
data_LiVFeP4O14
_space_group_name_H-M_alt 'P 1'
_space_group_IT_number 1
_cell_length_a 4.8933
_cell_length_b 6.9783
_cell_length_c 8.1824
_cell_angle_alpha 90.13
_cell_angle_beta 90.72
_cell_angle_gamma 107.02
loop_
_space_group_symop_operation_xyz
'x,y,z'
loop_
_atom_site_label
_atom_site_fract_x
_atom_site_fract_y
_atom_site_fract_z
Li1 0.0000 0.0000 0.0000
V1 0.6218 0.6015 0.8568
Fe1 0.0450 0.0568 0.3670
P1 0.0756 0.4242 0.0813
P2 0.2274 0.8491 0.6789
P3 0.4418 0.8125 0.1831
P4 0.6114 0.2373 0.5864
O1 0.1134 0.8385 0.5062
O2 0.2340 0.9387 0.1762
O3 0.2556 0.5814 0.2137
O4 0.2696 0.4102 0.9369
O5 0.4122 0.7054 0.7038
O6 0.4181 0.2420 0.4406
O7 0.4321 0.0710 0.7182
O8 0.5851 0.8133 0.0141
O9 0.6621 0.8646 0.3187
O10 0.6945 0.4309 0.6890
O11 0.8260 0.4995 0.0216
O12 0.8783 0.1806 0.5433
O13 0.9723 0.2230 0.1661
O14 0.9961 0.8168 0.8112
```

## Properties
- Size of the total moment: 0.284 μB per atom
- Calculated total energy: -0.2638 hartree per atom
- V: 12.721 Å³/atom